1.
This record from the Alexandria database describes an optimized crystal structure of BeReNi2. The functional is PBE-GGA.

Cell and atoms, written as CIF:
```
data_BeReNi2
_cell_length_a 2.6578
_cell_length_b 4.0848
_cell_length_c 4.1961
_cell_angle_alpha 90.00
_cell_angle_beta 90.00
_cell_angle_gamma 90.00
_space_group_name_H-M_alt 'P m m m'
_space_group_IT_number 47
loop_
_space_group_symop_operation_xyz
'x,y,z'
'-x,-y,-z'
'-x,-y,z'
'x,y,-z'
'x,-y,-z'
'-x,y,z'
'-x,y,-z'
'x,-y,z'
loop_
_atom_site_label
_atom_site_type_symbol
_atom_site_fract_x
_atom_site_fract_y
_atom_site_fract_z
Be1 Be 0.0000 0.0000 0.0000
Re1 Re 0.5000 0.5000 0.0000
Ni1 Ni 0.0000 0.5000 0.5000
Ni2 Ni 0.5000 0.0000 0.5000
```

Summary:
Density of states at the Fermi level ... 3.60 states/eV/f.u.
Formation energy ... 0.074 eV/atom



2.
This record from the Alexandria database describes an optimized crystal structure of BeReNi3. The functional is PBE-GGA.

Cell and atoms, written as CIF:
```
data_BeReNi3
_cell_length_a 3.8622
_cell_length_b 3.8622
_cell_length_c 3.8622
_cell_angle_alpha 90.00
_cell_angle_beta 90.00
_cell_angle_gamma 90.00
_space_group_name_H-M_alt 'P m -3 m'
_space_group_IT_number 221
_space_group_name_Hall '-P 4 2 3'
loop_
_atom_site_label
_atom_site_type_symbol
_atom_site_fract_x
_atom_site_fract_y
_atom_site_fract_z
Be1 Be 0.0000 0.0000 0.0000
Re1 Re 0.5000 0.5000 0.5000
Ni1 Ni 0.0000 0.0000 0.5000
```

Summary:
Density of states at the Fermi level ... 10.39 states/eV/f.u.
Formation energy ... 0.554 eV/atom
ΔE to the lowest computed polymorph ... 0.00 eV/f.u.



3.
This record from the Alexandria database describes an optimized crystal structure of BeReNi2. The functional is PBE-GGA.

Cell and atoms, written as CIF:
```
data_BeReNi2
_cell_length_a 4.9586
_cell_length_b 7.3019
_cell_length_c 2.5572
_cell_angle_alpha 90.00
_cell_angle_beta 90.00
_cell_angle_gamma 90.00
_space_group_name_H-M_alt 'C m m m'
_space_group_IT_number 65
_space_group_name_Hall '-C 2 2'
loop_
_atom_site_label
_atom_site_type_symbol
_atom_site_fract_x
_atom_site_fract_y
_atom_site_fract_z
Be1 Be 0.0000 0.0000 0.0000
Re1 Re 0.0000 0.5000 0.0000
Ni1 Ni 0.2500 0.2500 0.5000
```

Summary:
Density of states at the Fermi level ... 2.54 states/eV/f.u.
Formation energy ... 0.006 eV/atom



4.
This record from the Alexandria database describes an optimized crystal structure of BeReNi2. The functional is PBE-GGA.

Cell and atoms, written as CIF:
```
data_BeReNi2
_cell_length_a 2.5348
_cell_length_b 3.7937
_cell_length_c 4.8297
_cell_angle_alpha 90.00
_cell_angle_beta 103.46
_cell_angle_gamma 90.00
_space_group_name_H-M_alt 'P 1 2/m 1'
_space_group_IT_number 10
loop_
_space_group_symop_operation_xyz
'x,y,z'
'-x,-y,-z'
'-x,y,-z'
'x,-y,z'
loop_
_atom_site_label
_atom_site_type_symbol
_atom_site_fract_x
_atom_site_fract_y
_atom_site_fract_z
Be1 Be 0.0000 0.0000 0.0000
Re1 Re 0.0000 0.0000 0.5000
Ni1 Ni 0.4097 0.5000 0.2367
```

Summary:
Density of states at the Fermi level ... 2.41 states/eV/f.u.
Formation energy ... -0.060 eV/atom



5.
This record from the Alexandria database describes an optimized crystal structure of Be2ReNi. The functional is PBE-GGA.

Cell and atoms, written as CIF:
```
data_Be2ReNi
_cell_length_a 5.6088
_cell_length_b 5.6088
_cell_length_c 5.6088
_cell_angle_alpha 90.00
_cell_angle_beta 90.00
_cell_angle_gamma 90.00
_space_group_name_H-M_alt 'F -4 3 m'
_space_group_IT_number 216
_space_group_name_Hall 'F -4 2 3'
loop_
_atom_site_label
_atom_site_type_symbol
_atom_site_fract_x
_atom_site_fract_y
_atom_site_fract_z
Be1 Be 0.0000 0.0000 0.0000
Be2 Be 0.2500 0.2500 0.2500
Re1 Re 0.0000 0.0000 0.5000
Ni1 Ni 0.2500 0.2500 0.7500
```

Summary:
Density of states at the Fermi level ... 2.55 states/eV/f.u.
Formation energy ... 0.174 eV/atom
ΔE to the lowest computed polymorph ... 1.46 eV/f.u.



6.
This record from the Alexandria database describes an optimized crystal structure of BeReNi2. The functional is PBE-GGA.

Cell and atoms, written as CIF:
```
data_BeReNi2
_cell_length_a 2.5537
_cell_length_b 3.6825
_cell_length_c 4.8595
_cell_angle_alpha 90.00
_cell_angle_beta 90.00
_cell_angle_gamma 90.00
_space_group_name_H-M_alt 'P m m m'
_space_group_IT_number 47
loop_
_space_group_symop_operation_xyz
'x,y,z'
'-x,-y,-z'
'-x,-y,z'
'x,y,-z'
'x,-y,-z'
'-x,y,z'
'-x,y,-z'
'x,-y,z'
loop_
_atom_site_label
_atom_site_type_symbol
_atom_site_fract_x
_atom_site_fract_y
_atom_site_fract_z
Be1 Be 0.0000 0.0000 0.0000
Re1 Re 0.0000 0.0000 0.5000
Ni1 Ni 0.5000 0.5000 0.2423
```

Summary:
Density of states at the Fermi level ... 2.25 states/eV/f.u.
Formation energy ... -0.051 eV/atom



7.
This record from the Alexandria database describes an optimized crystal structure of Be2ReNi. The functional is PBE-GGA.

Cell and atoms, written as CIF:
```
data_Be2ReNi
_cell_length_a 2.6022
_cell_length_b 3.9595
_cell_length_c 8.1936
_cell_angle_alpha 90.00
_cell_angle_beta 90.00
_cell_angle_gamma 90.00
_space_group_name_H-M_alt 'I m m 2'
_space_group_IT_number 44
loop_
_space_group_symop_operation_xyz
'x,y,z'
'-x,-y,z'
'-x,y,z'
'x,-y,z'
'x+1/2,y+1/2,z+1/2'
'-x+1/2,-y+1/2,z+1/2'
'-x+1/2,y+1/2,z+1/2'
'x+1/2,-y+1/2,z+1/2'
loop_
_atom_site_label
_atom_site_type_symbol
_atom_site_fract_x
_atom_site_fract_y
_atom_site_fract_z
Be1 Be 0.0000 0.0000 0.0000
Be2 Be 0.0000 0.5000 0.2709
Re1 Re 0.0000 0.0000 0.5044
Ni1 Ni 0.0000 0.5000 0.7322
```

Summary:
Density of states at the Fermi level ... 2.53 states/eV/f.u.
Formation energy ... -0.059 eV/atom
ΔE to the lowest computed polymorph ... 0.52 eV/f.u.



8.
This record from the Alexandria database describes an optimized crystal structure of BeReNi3. The functional is PBE-GGA.

Cell and atoms, written as CIF:
```
data_BeReNi3
_cell_length_a 4.4710
_cell_length_b 4.4710
_cell_length_c 4.4710
_cell_angle_alpha 90.00
_cell_angle_beta 90.00
_cell_angle_gamma 90.00
_space_group_name_H-M_alt 'P m -3 m'
_space_group_IT_number 221
_space_group_name_Hall '-P 4 2 3'
loop_
_atom_site_label
_atom_site_type_symbol
_atom_site_fract_x
_atom_site_fract_y
_atom_site_fract_z
Be1 Be 0.0000 0.0000 0.0000
Re1 Re 0.5000 0.5000 0.5000
Ni1 Ni 0.0000 0.5000 0.5000
```

Summary:
Density of states at the Fermi level ... 5.00 states/eV/f.u.
Formation energy ... 1.667 eV/atom
ΔE to the lowest computed polymorph ... 5.56 eV/f.u.



9.
This record from the Alexandria database describes an optimized crystal structure of Be2ReNi. The functional is PBE-GGA.

Cell and atoms, written as CIF:
```
data_Be2ReNi
_cell_length_a 2.6578
_cell_length_b 2.6578
_cell_length_c 5.8590
_cell_angle_alpha 90.00
_cell_angle_beta 90.00
_cell_angle_gamma 90.00
_space_group_name_H-M_alt 'P 4 m m'
_space_group_IT_number 99
loop_
_space_group_symop_operation_xyz
'x,y,z'
'-y,x,z'
'-x,-y,z'
'y,-x,z'
'-x,y,z'
'y,x,z'
'x,-y,z'
'-y,-x,z'
loop_
_atom_site_label
_atom_site_type_symbol
_atom_site_fract_x
_atom_site_fract_y
_atom_site_fract_z
Be1 Be 0.0000 0.0000 0.0000
Be2 Be 0.5000 0.5000 0.1952
Re1 Re 0.5000 0.5000 0.7189
Ni1 Ni 0.0000 0.0000 0.4065
```

Summary:
Density of states at the Fermi level ... 3.46 states/eV/f.u.
Formation energy ... -0.123 eV/atom
ΔE to the lowest computed polymorph ... 0.27 eV/f.u.



10.
This record from the Alexandria database describes an optimized crystal structure of Be2ReNi. The functional is PBE-GGA.

Cell and atoms, written as CIF:
```
data_Be2ReNi
_cell_length_a 5.4848
_cell_length_b 5.4848
_cell_length_c 5.4848
_cell_angle_alpha 90.00
_cell_angle_beta 90.00
_cell_angle_gamma 90.00
_space_group_name_H-M_alt 'F m -3 m'
_space_group_IT_number 225
_space_group_name_Hall '-F 4 2 3'
loop_
_atom_site_label
_atom_site_type_symbol
_atom_site_fract_x
_atom_site_fract_y
_atom_site_fract_z
Be1 Be 0.2500 0.2500 0.2500
Re1 Re 0.0000 0.0000 0.0000
Ni1 Ni 0.0000 0.0000 0.5000
```

Summary:
Density of states at the Fermi level ... 3.75 states/eV/f.u.
Formation energy ... 0.006 eV/atom
ΔE to the lowest computed polymorph ... 0.78 eV/f.u.



formation energy of number 2 (BeReNi3)? 0.554 eV/atom



The highest formation energy belongs to which entry? number 8



The highest density of states at the Fermi level belongs to which entry? number 2



Look up the formation energy of the second one. 0.554 eV/atom